The following is a PBE calculation of crystalline Ca2Mg2W at its relaxed geometry, from Alexandria.

## Properties
Volume (Å³/atom): 24.450
Relative energy among the computed polymorphs (kcal/mol of atoms): 0.00
Final energy (eV per atom): -3.1750
DOS(E_F) (states/eV/atom): 0.465

abc: 8.537 8.537 3.355
angles: 90.00 90.00 90.00
Positions (direct):
Ca  0.178  0.322  0.000
Ca  0.322  0.822  0.000
Ca  0.678  0.178  0.000
Ca  0.822  0.678  0.000
Mg  0.124  0.624  0.500
Mg  0.376  0.124  0.500
Mg  0.624  0.876  0.500
Mg  0.876  0.376  0.500
W  0.000  0.000  0.500
W  0.500  0.500  0.500

***

The following is a PBE calculation of crystalline Ca2Mg2W at its relaxed geometry, from Alexandria.

## Properties
Volume (Å³/atom): 26.254
Relative energy among the computed polymorphs (kcal/mol of atoms): 8.50
Final energy (eV per atom): -2.8064
DOS(E_F) (states/eV/atom): 0.997

abc: 8.091 8.091 8.091
angles: 150.10 150.10 42.79
Positions (direct):
Ca  0.250  0.750  0.500
Ca  0.750  0.250  0.500
Mg  0.086  0.086  0.000
Mg  0.914  0.914  0.000
W  0.500  0.500  0.000

***

The following is a PBE calculation of crystalline CaMg2W at its relaxed geometry, from Alexandria.

## Properties
Volume (Å³/atom): 21.452
Relative energy among the computed polymorphs (kcal/mol of atoms): 0.29
Final energy (eV per atom): -4.0782
DOS(E_F) (states/eV/atom): 0.608

abc: 2.922 2.922 10.117
angles: 90.00 90.00 96.77
Positions (direct):
Ca  0.000  0.000  0.000
Mg  0.000  0.000  0.460
Mg  0.500  0.500  0.715
W  0.500  0.500  0.246

***

The following is a PBE calculation of crystalline CaMgZr2W at its relaxed geometry, from Alexandria.

## Properties
Volume (Å³/atom): 25.904
Final energy (eV per atom): -5.3447
DOS(E_F) (states/eV/atom): 1.570

abc: 5.163 5.163 4.858
angles: 90.00 90.00 90.00
Positions (direct):
Ca  0.000  0.000  0.000
Mg  0.500  0.500  0.500
Zr  0.000  0.500  0.500
Zr  0.500  0.000  0.500
W  0.500  0.500  0.000

***

The following is a PBE calculation of crystalline Ca2YMg at its relaxed geometry, from Alexandria.

## Properties
Volume (Å³/atom): 34.656
Final energy (eV per atom): -2.9143
DOS(E_F) (states/eV/atom): 1.797

abc: 11.681 11.681 11.681
angles: 18.40 18.40 18.40
Positions (direct):
Ca  0.245  0.245  0.245
Ca  0.755  0.755  0.755
Y  0.000  0.000  0.000
Mg  0.500  0.500  0.500

***

The following is a PBE calculation of crystalline CaY3Mg2 at its relaxed geometry, from Alexandria.

## Properties
Volume (Å³/atom): 30.580
Final energy (eV per atom): -4.1248
DOS(E_F) (states/eV/atom): 1.481

abc: 3.804 3.804 12.678
angles: 90.00 90.00 90.00
Positions (direct):
Ca  0.000  0.000  0.000
Y  0.500  0.500  0.208
Y  0.500  0.500  0.500
Y  0.500  0.500  0.792
Mg  0.000  0.000  0.353
Mg  0.000  0.000  0.647

***

The following is a PBE calculation of crystalline CaYMg2 at its relaxed geometry, from Alexandria.

## Properties
Volume (Å³/atom): 29.377
Final energy (eV per atom): -2.8566
DOS(E_F) (states/eV/atom): 1.140

abc: 6.041 6.041 6.041
angles: 132.51 132.51 69.42
Positions (direct):
Ca  0.000  0.000  0.000
Y  0.750  0.250  0.500
Mg  0.250  0.750  0.500
Mg  0.500  0.500  0.000

***

The following is a PBE calculation of crystalline Ca3Y2Mg4 at its relaxed geometry, from Alexandria.

## Properties
Volume (Å³/atom): 30.515
Final energy (eV per atom): -2.8416
DOS(E_F) (states/eV/atom): 1.089

abc: 5.537 5.537 10.341
angles: 90.00 90.00 120.00
Positions (direct):
Ca  0.000  0.000  0.000
Ca  0.333  0.667  0.423
Ca  0.667  0.333  0.577
Y  0.333  0.667  0.792
Y  0.667  0.333  0.208
Mg  0.000  0.000  0.334
Mg  0.000  0.000  0.666
Mg  0.333  0.667  0.106
Mg  0.667  0.333  0.894